Entry 1:
# Re2RuBr

A PBEsol-optimized structure of Re2RuBr (meta-GGA SCAN, the Alexandria database).

a = 5.137 Å, b = 8.206 Å, c = 2.876 Å
α = 90.00°, β = 90.00°, γ = 90.00°
Fractional coordinates of all 8 atoms:
Re 0.250 0.250 0.000
Re 0.250 0.750 0.000
Re 0.750 0.250 0.000
Re 0.750 0.750 0.000
Ru 0.000 0.000 0.500
Ru 0.500 0.500 0.500
Br 0.000 0.500 0.500
Br 0.500 0.000 0.500

Energy relative to the elements, uncorrected in eV per atom: 1.377

Entry 2:
# YReRu2Br

A PBEsol-optimized structure of YReRu2Br (meta-GGA SCAN, the Alexandria database).

a = 4.526 Å, b = 4.526 Å, c = 4.575 Å
α = 90.00°, β = 90.00°, γ = 90.00°
Fractional coordinates of all 5 atoms:
Y 0.000 0.000 0.000
Re 0.500 0.500 0.000
Ru 0.000 0.500 0.500
Ru 0.500 0.000 0.500
Br 0.500 0.500 0.500

Energy relative to the elements, uncorrected in eV per atom: 1.124

Entry 3:
# Re3S4Br

A PBEsol-optimized structure of Re3S4Br (meta-GGA SCAN, the Alexandria database).

a = 6.332 Å, b = 11.372 Å, c = 11.031 Å
α = 90.00°, β = 113.60°, γ = 90.00°
Fractional coordinates of all 32 atoms:
Re 0.036 0.149 0.445
Re 0.036 0.351 0.945
Re 0.037 0.062 0.662
Re 0.037 0.438 0.162
Re 0.312 0.524 0.061
Re 0.312 0.976 0.561
Re 0.688 0.024 0.439
Re 0.688 0.476 0.939
Re 0.963 0.562 0.838
Re 0.963 0.938 0.338
Re 0.964 0.649 0.055
Re 0.964 0.851 0.555
S 0.222 0.714 0.960
S 0.222 0.786 0.460
S 0.271 0.064 0.344
S 0.271 0.436 0.844
S 0.289 0.602 0.255
S 0.289 0.898 0.755
S 0.354 0.170 0.655
S 0.354 0.330 0.155
S 0.646 0.670 0.845
S 0.646 0.830 0.345
S 0.711 0.102 0.245
S 0.711 0.398 0.745
S 0.729 0.564 0.156
S 0.729 0.936 0.656
S 0.778 0.214 0.540
S 0.778 0.286 0.040
Br 0.105 0.135 0.896
Br 0.105 0.365 0.396
Br 0.895 0.635 0.604
Br 0.895 0.865 0.104

Energy relative to the elements, uncorrected in eV per atom: -0.595

Entry 4:
# ScReSBr2

A PBEsol-optimized structure of ScReSBr2 (meta-GGA SCAN, the Alexandria database).

a = 4.647 Å, b = 4.647 Å, c = 5.569 Å
α = 90.00°, β = 90.00°, γ = 90.00°
Fractional coordinates of all 5 atoms:
Sc 0.000 0.000 0.000
Re 0.000 0.000 0.500
S 0.500 0.500 0.000
Br 0.000 0.500 0.500
Br 0.500 0.000 0.500

Energy relative to the elements, uncorrected in eV per atom: 0.335

Entry 5:
# ScReBr2

A PBEsol-optimized structure of ScReBr2 (meta-GGA SCAN, the Alexandria database).

a = 10.916 Å, b = 3.226 Å, c = 5.624 Å
α = 90.00°, β = 90.98°, γ = 90.00°
Fractional coordinates of all 8 atoms:
Sc 0.000 0.000 0.000
Sc 0.500 0.500 0.000
Re 0.128 0.500 0.746
Re 0.628 0.000 0.746
Br 0.257 0.000 0.983
Br 0.483 0.000 0.407
Br 0.757 0.500 0.983
Br 0.983 0.500 0.407

Energy relative to the elements, uncorrected in eV per atom: -0.009

Entry 6:
# ScReSi2Br

A PBEsol-optimized structure of ScReSi2Br (meta-GGA SCAN, the Alexandria database).

a = 4.544 Å, b = 4.544 Å, c = 5.357 Å
α = 90.00°, β = 90.00°, γ = 90.00°
Fractional coordinates of all 5 atoms:
Sc 0.000 0.000 0.000
Re 0.500 0.500 0.500
Si 0.000 0.500 0.500
Si 0.500 0.000 0.500
Br 0.500 0.500 0.000

Energy relative to the elements, uncorrected in eV per atom: 0.533

Entry 7:
# ReSe4Br

A PBEsol-optimized structure of ReSe4Br (meta-GGA SCAN, the Alexandria database).

a = 5.586 Å, b = 5.586 Å, c = 5.586 Å
α = 60.00°, β = 60.00°, γ = 60.00°
Fractional coordinates of all 6 atoms:
Re 0.000 0.000 0.000
Se 0.120 0.627 0.627
Se 0.627 0.120 0.627
Se 0.627 0.627 0.120
Se 0.627 0.627 0.627
Br 0.250 0.250 0.250

Energy relative to the elements, uncorrected in eV per atom: 1.317

Entry 8:
# Re3Se4Br

A PBEsol-optimized structure of Re3Se4Br (meta-GGA SCAN, the Alexandria database).

a = 6.556 Å, b = 11.723 Å, c = 11.354 Å
α = 90.00°, β = 112.57°, γ = 90.00°
Fractional coordinates of all 32 atoms:
Re 0.029 0.068 0.154
Re 0.029 0.432 0.654
Re 0.030 0.144 0.937
Re 0.030 0.356 0.437
Re 0.303 0.519 0.559
Re 0.303 0.981 0.059
Re 0.697 0.019 0.941
Re 0.697 0.481 0.441
Re 0.970 0.644 0.563
Re 0.970 0.856 0.063
Re 0.971 0.568 0.346
Re 0.971 0.932 0.846
Se 0.237 0.719 0.472
Se 0.237 0.781 0.972
Se 0.274 0.058 0.835
Se 0.274 0.442 0.335
Se 0.290 0.591 0.765
Se 0.290 0.909 0.265
Se 0.348 0.181 0.146
Se 0.348 0.319 0.646
Se 0.652 0.681 0.354
Se 0.652 0.819 0.854
Se 0.710 0.091 0.735
Se 0.710 0.409 0.235
Se 0.726 0.558 0.665
Se 0.726 0.942 0.165
Se 0.763 0.219 0.028
Se 0.763 0.281 0.528
Br 0.089 0.148 0.378
Br 0.089 0.352 0.878
Br 0.911 0.648 0.122
Br 0.911 0.852 0.622

Energy relative to the elements, uncorrected in eV per atom: -0.471

Entry 9:
# SrReSe2Br

A PBEsol-optimized structure of SrReSe2Br (meta-GGA SCAN, the Alexandria database).

a = 4.833 Å, b = 4.833 Å, c = 5.340 Å
α = 90.00°, β = 90.00°, γ = 90.00°
Fractional coordinates of all 5 atoms:
Sr 0.000 0.000 0.000
Re 0.500 0.500 0.500
Se 0.000 0.500 0.500
Se 0.500 0.000 0.500
Br 0.500 0.500 0.000

Energy relative to the elements, uncorrected in eV per atom: -0.469

Entry 10:
# TaReSeBr2

A PBEsol-optimized structure of TaReSeBr2 (meta-GGA SCAN, the Alexandria database).

a = 5.085 Å, b = 5.085 Å, c = 4.973 Å
α = 90.00°, β = 90.00°, γ = 90.00°
Fractional coordinates of all 5 atoms:
Ta 0.000 0.000 0.000
Re 0.500 0.500 0.500
Se 0.000 0.000 0.500
Br 0.000 0.500 0.000
Br 0.500 0.000 0.000

Energy relative to the elements, uncorrected in eV per atom: 1.114

Entry 11:
# TlRe2SeBr

A PBEsol-optimized structure of TlRe2SeBr (meta-GGA SCAN, the Alexandria database).

a = 4.595 Å, b = 4.595 Å, c = 6.390 Å
α = 90.00°, β = 90.00°, γ = 90.00°
Fractional coordinates of all 5 atoms:
Tl 0.000 0.000 0.000
Re 0.000 0.500 0.500
Re 0.500 0.000 0.500
Se 0.000 0.000 0.500
Br 0.500 0.500 0.000

Energy relative to the elements, uncorrected in eV per atom: 1.544

Entry 12:
# ReWSeBr2

A PBEsol-optimized structure of ReWSeBr2 (meta-GGA SCAN, the Alexandria database).

a = 5.127 Å, b = 5.127 Å, c = 4.810 Å
α = 90.00°, β = 90.00°, γ = 90.00°
Fractional coordinates of all 5 atoms:
Re 0.000 0.000 0.000
W 0.500 0.500 0.500
Se 0.500 0.500 0.000
Br 0.000 0.500 0.500
Br 0.500 0.000 0.500

Energy relative to the elements, uncorrected in eV per atom: 1.508

Entry 13:
# ReSi2Br

A PBEsol-optimized structure of ReSi2Br (meta-GGA SCAN, the Alexandria database).

a = 3.167 Å, b = 3.167 Å, c = 22.759 Å
α = 90.00°, β = 90.00°, γ = 120.00°
Fractional coordinates of all 12 atoms:
Re 0.000 0.000 0.000
Re 0.333 0.667 0.667
Re 0.667 0.333 0.333
Si 0.000 0.000 0.261
Si 0.000 0.000 0.739
Si 0.333 0.667 0.406
Si 0.333 0.667 0.928
Si 0.667 0.333 0.072
Si 0.667 0.333 0.594
Br 0.000 0.000 0.500
Br 0.333 0.667 0.167
Br 0.667 0.333 0.833

Energy relative to the elements, uncorrected in eV per atom: 0.312
Relative energy among the computed polymorphs in meV/atom: 0

Entry 14:
# ReSi2Br

A PBEsol-optimized structure of ReSi2Br (meta-GGA SCAN, the Alexandria database).

a = 4.022 Å, b = 4.022 Å, c = 7.441 Å
α = 90.00°, β = 90.00°, γ = 90.00°
Fractional coordinates of all 8 atoms:
Re 0.000 0.000 0.000
Re 0.500 0.500 0.500
Si 0.000 0.500 0.250
Si 0.000 0.500 0.750
Si 0.500 0.000 0.250
Si 0.500 0.000 0.750
Br 0.000 0.000 0.500
Br 0.500 0.500 0.000

Energy relative to the elements, uncorrected in eV per atom: 1.079
Relative energy among the computed polymorphs in meV/atom: 767

Entry 15:
# ReSi2Br

A PBEsol-optimized structure of ReSi2Br (meta-GGA SCAN, the Alexandria database).

a = 4.813 Å, b = 4.813 Å, c = 2.727 Å
α = 90.00°, β = 90.00°, γ = 90.00°
Fractional coordinates of all 4 atoms:
Re 0.000 0.000 0.000
Si 0.000 0.500 0.500
Si 0.500 0.000 0.500
Br 0.500 0.500 0.000

Energy relative to the elements, uncorrected in eV per atom: 1.039
Relative energy among the computed polymorphs in meV/atom: 727

Entry 16:
# ReSi2Br

A PBEsol-optimized structure of ReSi2Br (meta-GGA SCAN, the Alexandria database).

a = 2.980 Å, b = 2.980 Å, c = 26.211 Å
α = 90.00°, β = 90.00°, γ = 120.00°
Fractional coordinates of all 12 atoms:
Re 0.000 0.000 0.000
Re 0.333 0.667 0.667
Re 0.667 0.333 0.333
Si 0.000 0.000 0.477
Si 0.000 0.000 0.736
Si 0.333 0.667 0.144
Si 0.333 0.667 0.402
Si 0.667 0.333 0.069
Si 0.667 0.333 0.811
Br 0.000 0.000 0.258
Br 0.333 0.667 0.924
Br 0.667 0.333 0.591

Energy relative to the elements, uncorrected in eV per atom: 0.650
Relative energy among the computed polymorphs in meV/atom: 338

Entry 17:
# TiRe2SnBr

A PBEsol-optimized structure of TiRe2SnBr (meta-GGA SCAN, the Alexandria database).

a = 4.727 Å, b = 4.727 Å, c = 4.697 Å
α = 90.00°, β = 90.00°, γ = 90.00°
Fractional coordinates of all 5 atoms:
Ti 0.000 0.000 0.000
Re 0.000 0.500 0.000
Re 0.500 0.000 0.000
Sn 0.500 0.500 0.500
Br 0.000 0.000 0.500

Energy relative to the elements, uncorrected in eV per atom: 1.663

Entry 18:
# SrReBr4

A PBEsol-optimized structure of SrReBr4 (meta-GGA SCAN, the Alexandria database).

a = 6.280 Å, b = 6.280 Å, c = 6.280 Å
α = 60.00°, β = 60.00°, γ = 60.00°
Fractional coordinates of all 6 atoms:
Sr 0.000 0.000 0.000
Re 0.750 0.750 0.750
Br 0.375 0.375 0.375
Br 0.375 0.375 0.874
Br 0.375 0.874 0.375
Br 0.874 0.375 0.375

Energy relative to the elements, uncorrected in eV per atom: 0.604

Entry 19:
# SrRe2Br

A PBEsol-optimized structure of SrRe2Br (meta-GGA SCAN, the Alexandria database).

a = 3.181 Å, b = 3.181 Å, c = 8.199 Å
α = 90.00°, β = 90.00°, γ = 90.00°
Fractional coordinates of all 4 atoms:
Sr 0.000 0.000 0.000
Re 0.000 0.000 0.562
Re 0.500 0.500 0.709
Br 0.500 0.500 0.258

Energy relative to the elements, uncorrected in eV per atom: 0.172
Relative energy among the computed polymorphs in meV/atom: 0

Entry 20:
# SrRe2Br

A PBEsol-optimized structure of SrRe2Br (meta-GGA SCAN, the Alexandria database).

a = 2.954 Å, b = 2.954 Å, c = 29.158 Å
α = 90.00°, β = 90.00°, γ = 120.00°
Fractional coordinates of all 12 atoms:
Sr 0.000 0.000 0.000
Sr 0.333 0.667 0.667
Sr 0.667 0.333 0.333
Re 0.000 0.000 0.240
Re 0.000 0.000 0.760
Re 0.333 0.667 0.426
Re 0.333 0.667 0.907
Re 0.667 0.333 0.093
Re 0.667 0.333 0.574
Br 0.000 0.000 0.500
Br 0.333 0.667 0.167
Br 0.667 0.333 0.833

Energy relative to the elements, uncorrected in eV per atom: 1.571
Relative energy among the computed polymorphs in meV/atom: 1400